Record 1
! Sm8Y5Th | the Alexandria database | PBE-GGA | relaxed; values from VASP
&SYSTEM
  ibrav = 0, nat = 14, ntyp = 3
/
ATOMIC_SPECIES
Sm 150.36 Sm.upf
Th 232.04 Th.upf
Y 88.91 Y.upf
CELL_PARAMETERS angstrom
-6.289 -4.389 3.775
7.541 -3.841 1.216
-0.020 7.817 3.459
ATOMIC_POSITIONS angstrom
Sm 3.309 0.602 6.218
Sm 4.505 -2.898 1.684
Sm -0.094 0.758 3.121
Sm -2.656 -1.582 4.291
Sm -5.256 0.713 5.876
Th 2.182 2.846 4.147
Y -1.106 5.974 4.517
Sm 5.050 0.539 2.827
Y 2.162 -0.387 0.936
Y -3.154 1.714 3.617
Sm -1.169 2.800 6.156
Y 0.065 -0.566 6.372
Y 1.343 -5.846 5.074
Sm 1.239 -2.581 3.626
! - DOS at the Fermi energy (states/eV/cell) = 23.11
! - energy of formation from the pure elements (eV/atom) = 0.289
! - total DFT energy (no corrections) (eV for the cell shown) = -73.45

Record 2
! HfNpGaO6 | the Alexandria database | PBE-GGA | relaxed; values from VASP
&SYSTEM
  ibrav = 0, nat = 18, ntyp = 4
/
ATOMIC_SPECIES
O 16.00 O.upf
Ga 69.72 Ga.upf
Hf 178.49 Hf.upf
Np 237.00 Np.upf
CELL_PARAMETERS angstrom
-1.433 4.331 2.967
-0.256 -4.987 2.165
8.252 0.800 2.817
ATOMIC_POSITIONS angstrom
O 2.893 -3.046 2.533
O 4.702 1.899 2.761
O 6.231 3.595 4.479
O 1.862 -1.755 5.188
O 2.527 0.053 2.725
O 4.036 0.092 5.224
O -0.082 -0.370 3.810
Ga 4.126 0.400 1.408
Hf 5.149 1.825 4.812
Np 1.023 1.425 3.404
O 0.957 -1.516 1.093
Np 5.541 -1.281 4.545
Ga 0.000 0.000 0.000
O 0.333 -3.450 3.470
O 6.646 0.515 4.139
O 5.607 1.661 6.856
Hf 1.415 -1.681 3.137
O 3.671 3.191 5.415
! - DOS at the Fermi energy (states/eV/cell) = 10.53
! - total DFT energy (no corrections) (eV for the cell shown) = -157.72

Record 3
! TbHo6Tl2 | the Alexandria database | PBE-GGA | relaxed; values from VASP
&SYSTEM
  ibrav = 0, nat = 9, ntyp = 3
/
ATOMIC_SPECIES
Ho 164.93 Ho.upf
Tb 158.93 Tb.upf
Tl 204.38 Tl.upf
CELL_PARAMETERS angstrom
-1.694 3.021 -1.367
-6.503 -0.953 0.879
-2.567 5.446 10.144
ATOMIC_POSITIONS angstrom
Ho -6.985 4.217 2.758
Ho -4.762 2.268 0.770
Ho -6.002 5.246 8.886
Tb 0.000 0.000 0.000
Tl -9.149 5.364 7.974
Ho -7.201 3.359 6.202
Tl -1.615 2.151 1.681
Ho -3.779 3.298 6.898
Ho -3.563 4.155 3.454
! - DOS at the Fermi energy (states/eV/cell) = 11.45
! - energy of formation from the pure elements (eV/atom) = -0.146
! - total DFT energy (no corrections) (eV for the cell shown) = -38.14

Record 4
! Sm3YCu2 | the Alexandria database | PBE-GGA | relaxed; values from VASP
&SYSTEM
  ibrav = 0, nat = 12, ntyp = 3
/
ATOMIC_SPECIES
Cu 63.55 Cu.upf
Y 88.91 Y.upf
Sm 150.36 Sm.upf
CELL_PARAMETERS angstrom
4.987 0.000 0.000
0.000 6.984 0.000
0.000 0.000 8.884
ATOMIC_POSITIONS angstrom
Cu 0.000 5.321 3.117
Y 2.493 0.074 3.783
Cu 2.493 5.150 7.496
Sm 0.000 3.422 8.183
Cu 0.000 1.829 5.768
Sm 0.000 2.488 2.995
Sm 0.000 6.914 0.701
Cu 2.493 1.658 1.388
Sm 0.000 5.980 5.889
Sm 2.493 1.006 7.448
Y 2.493 3.566 5.102
Sm 2.493 4.498 1.437
! - DOS at the Fermi energy (states/eV/cell) = 12.54
! - energy of formation from the pure elements (eV/atom) = -0.129
! - total DFT energy (no corrections) (eV for the cell shown) = -59.18

Record 5
! Ac2Pb3O8 | the Alexandria database | PBE-GGA | relaxed; values from VASP
&SYSTEM
  ibrav = 0, nat = 13, ntyp = 3
/
ATOMIC_SPECIES
O 16.00 O.upf
Pb 207.20 Pb.upf
Ac 227.00 Ac.upf
CELL_PARAMETERS angstrom
5.800 0.096 0.156
0.169 6.107 2.557
0.166 -0.282 6.614
ATOMIC_POSITIONS angstrom
O 4.695 2.562 4.398
O 3.771 5.650 4.645
O 1.936 0.207 4.670
Pb 0.167 1.245 5.645
Pb 0.168 4.418 3.629
O 2.366 4.122 2.237
O 4.993 5.532 8.022
O 4.198 1.783 7.154
Ac 3.248 4.000 6.406
Pb 3.066 -0.197 6.669
O 1.440 3.033 5.137
Ac 2.887 1.826 2.982
O 1.143 1.016 0.908
! - DOS at the Fermi energy (states/eV/cell) = 0.00
! - total DFT energy (no corrections) (eV for the cell shown) = -82.75

Record 6
! NaGeRuO6 | the Alexandria database | PBE-GGA | relaxed; values from VASP
&SYSTEM
  ibrav = 0, nat = 18, ntyp = 4
/
ATOMIC_SPECIES
Na 22.99 Na.upf
O 16.00 O.upf
Ru 101.07 Ru.upf
Ge 72.64 Ge.upf
CELL_PARAMETERS angstrom
-3.687 1.125 -3.348
0.196 -4.642 2.117
-6.085 3.304 7.810
ATOMIC_POSITIONS angstrom
Na -3.042 1.652 3.905
O -6.529 1.468 6.179
Ru -6.956 1.681 4.331
Na 0.000 0.000 0.000
O -4.215 -2.780 2.805
Ge -5.662 -0.242 6.153
O -6.093 -0.022 4.297
O -2.117 -3.716 1.984
O -7.458 3.503 4.595
O -0.828 -1.297 1.965
O -7.548 1.483 2.527
O -3.046 -1.681 0.399
Ge -3.914 0.029 0.426
O -2.027 -1.696 4.051
O -3.482 -0.191 2.281
Ru -2.619 -1.894 2.248
O -5.360 2.568 3.773
O -8.747 1.084 4.614
! - DOS at the Fermi energy (states/eV/cell) = 7.93
! - total DFT energy (no corrections) (eV for the cell shown) = -109.91

Record 7
! KTl2MoS4 | the Alexandria database | PBE-GGA | relaxed; values from VASP
&SYSTEM
  ibrav = 0, nat = 8, ntyp = 4
/
ATOMIC_SPECIES
S 32.06 S.upf
Tl 204.38 Tl.upf
K 39.10 K.upf
Mo 95.94 Mo.upf
CELL_PARAMETERS angstrom
-6.448 -1.517 -2.098
4.518 -3.319 -4.104
0.718 -1.992 6.617
ATOMIC_POSITIONS angstrom
S 2.303 -1.999 -0.867
Tl 0.344 -3.746 -2.473
K -1.556 -3.083 2.888
S -1.721 -3.759 -0.191
Tl 0.000 0.000 0.000
S -5.286 -3.034 0.433
S 2.280 -4.867 1.457
Mo 2.618 -2.656 1.257
! - DOS at the Fermi energy (states/eV/cell) = 4.01
! - total DFT energy (no corrections) (eV for the cell shown) = -37.76

Record 8
! Pr3Sc5O12 | the Alexandria database | PBE-GGA | relaxed; values from VASP
&SYSTEM
  ibrav = 0, nat = 80, ntyp = 3
/
ATOMIC_SPECIES
Sc 44.96 Sc.upf
O 16.00 O.upf
Pr 140.91 Pr.upf
CELL_PARAMETERS angstrom
-10.957 -1.400 2.795
5.765 -9.547 2.334
4.375 8.642 6.000
ATOMIC_POSITIONS angstrom
Sc 1.304 -0.474 8.747
O -7.184 -2.411 5.350
O -2.277 1.037 9.238
Sc 0.000 0.000 0.000
O 4.796 -7.820 3.152
O -6.777 3.205 6.531
Sc 2.188 4.321 3.000
O -4.067 -1.640 2.707
O -0.837 -6.304 3.464
O -2.816 3.736 8.477
O 2.000 -6.042 2.652
O -2.104 -0.300 6.559
Pr 2.950 -2.284 6.548
O 5.614 3.201 5.965
O -1.839 -2.285 9.245
O 4.949 -2.935 8.075
Sc -3.668 5.318 7.638
Pr -3.766 -0.021 4.580
Pr 3.900 5.000 6.183
O 0.604 1.378 8.638
O -2.858 -4.548 7.627
O -2.857 1.941 3.139
O -1.472 -0.596 3.789
O 2.852 7.234 6.539
Pr -5.509 -3.550 3.721
O -6.897 -1.921 2.442
Sc 1.886 -1.595 2.724
O -3.610 -5.019 4.396
Sc 4.595 -4.094 4.349
O 0.274 0.878 5.503
O 6.080 -0.385 8.687
Sc -2.702 -0.711 8.404
O 1.023 -0.021 1.883
Sc -3.291 3.621 4.397
Sc -0.710 -7.068 5.289
O -1.421 -3.683 2.490
Sc -0.408 -1.153 5.564
Pr 0.588 -4.331 4.006
O 0.656 -1.710 7.339
Pr 6.956 -2.047 6.891
O 6.367 0.105 5.779
Sc -5.411 1.789 6.779
Pr -1.404 2.026 7.122
O 1.626 5.072 4.927
Sc 2.852 -7.623 3.491
O -5.612 5.514 7.977
Sc -2.974 -3.776 5.805
Pr -7.773 -0.258 4.237
Sc -0.107 4.763 5.840
O 0.021 3.999 7.665
O -5.766 0.630 3.053
Pr -0.438 -4.003 7.888
O -6.430 -5.507 5.163
O 2.864 -4.417 5.260
O 3.520 0.050 5.558
Sc -2.596 -5.474 2.564
O -5.845 0.038 5.955
Sc -5.478 -0.700 1.397
Sc 5.070 -0.453 4.167
Pr -4.716 -7.305 4.946
Sc -2.121 -1.832 2.381
O 3.250 -0.665 8.421
O -3.668 -9.540 4.589
O 5.029 -2.344 5.173
O -2.442 -7.377 6.202
O 1.461 -3.342 1.890
Sc 2.157 1.471 5.324
O 2.793 2.713 6.732
Pr -0.378 1.697 3.240
O -3.680 2.112 5.868
Pr 4.692 1.245 7.407
O -1.257 3.369 5.026
O 5.960 -5.510 4.597
O 1.288 -2.005 4.569
O 2.041 2.242 3.501
O 2.041 -4.247 7.990
Sc 2.882 -4.773 1.167
O -1.090 -3.183 5.625
O -4.336 -2.356 5.570
O 0.441 -5.674 6.103
! - DOS at the Fermi energy (states/eV/cell) = 0.00
! - total DFT energy (no corrections) (eV for the cell shown) = -696.55

Record 9
! LiSm4In5 | the Alexandria database | PBE-GGA | relaxed; values from VASP
&SYSTEM
  ibrav = 0, nat = 10, ntyp = 3
/
ATOMIC_SPECIES
In 114.82 In.upf
Sm 150.36 Sm.upf
Li 6.94 Li.upf
CELL_PARAMETERS angstrom
-1.524 3.107 0.937
0.784 -0.652 3.437
17.968 9.505 -2.298
ATOMIC_POSITIONS angstrom
In 16.228 10.007 0.065
Sm 7.077 3.743 -0.905
In 8.614 5.980 1.038
In 4.802 3.963 1.526
Sm 14.703 7.777 -1.880
In 1.001 1.953 2.012
Sm 10.892 5.761 -1.393
Sm 3.265 1.727 -0.418
In 12.427 7.997 0.551
Li 0.000 0.000 0.000
! - DOS at the Fermi energy (states/eV/cell) = 5.70
! - energy of formation from the pure elements (eV/atom) = -0.458
! - total DFT energy (no corrections) (eV for the cell shown) = -39.06

Record 10
! SmB4Ru6 | the Alexandria database | PBE-GGA | relaxed; values from VASP
&SYSTEM
  ibrav = 0, nat = 11, ntyp = 3
/
ATOMIC_SPECIES
B 10.81 B.upf
Ru 101.07 Ru.upf
Sm 150.36 Sm.upf
CELL_PARAMETERS angstrom
-1.974 -2.978 -4.523
5.494 1.726 0.236
0.739 -2.541 5.121
ATOMIC_POSITIONS angstrom
B 1.236 -2.481 -0.964
Ru -0.648 -1.902 -2.292
B 3.373 0.251 1.628
Sm 0.000 0.000 0.000
Ru 1.760 -0.626 -2.143
Ru 5.384 0.240 2.895
B 3.858 -1.421 2.515
Ru 2.209 -1.538 0.807
B 2.026 -0.957 3.012
Ru 3.548 -1.407 4.781
Ru -0.617 -2.759 0.299
! - DOS at the Fermi energy (states/eV/cell) = 10.46
! - energy of formation from the pure elements (eV/atom) = -0.073
! - total DFT energy (no corrections) (eV for the cell shown) = -87.89

Record 11
! TiCSN2 | the Alexandria database | PBE-GGA | relaxed; values from VASP
&SYSTEM
  ibrav = 0, nat = 5, ntyp = 4
/
ATOMIC_SPECIES
Ti 47.87 Ti.upf
C 12.01 C.upf
S 32.06 S.upf
N 14.01 N.upf
CELL_PARAMETERS angstrom
-1.572 2.077 2.726
1.094 -2.538 2.565
4.471 2.560 0.627
ATOMIC_POSITIONS angstrom
Ti 0.000 0.000 0.000
C 1.996 1.049 2.959
S 2.235 1.280 0.313
N -0.786 1.039 1.363
N 0.547 -1.269 1.282
! - DOS at the Fermi energy (states/eV/cell) = 4.66
! - total DFT energy (no corrections) (eV for the cell shown) = -29.54

Record 12
! La2PmIn | the Alexandria database | PBE-GGA | relaxed; values from VASP
&SYSTEM
  ibrav = 0, nat = 4, ntyp = 3
/
ATOMIC_SPECIES
Pm 145.00 Pm.upf
La 138.91 La.upf
In 114.82 In.upf
CELL_PARAMETERS angstrom
-0.416 -1.631 5.433
3.830 -3.588 2.193
3.776 1.860 3.825
ATOMIC_POSITIONS angstrom
Pm 0.000 0.000 0.000
La 1.798 -0.840 2.863
In 3.595 -1.679 5.725
La 5.393 -2.519 8.588
! - DOS at the Fermi energy (states/eV/cell) = 7.60
! - energy of formation from the pure elements (eV/atom) = -0.156
! - total DFT energy (no corrections) (eV for the cell shown) = -17.97